DFT (GGA-PBE) results for Rb3HSe after structural relaxation.

Unit cell a=6.531 b=6.531 c=6.531 alpha=90.00 beta=90.00 gamma=90.00
Fractional coordinates of all 5 atoms:
Rb1 0.000 0.000 0.500
Rb2 0.000 0.500 0.000
Rb3 0.500 0.000 0.000
H1 0.500 0.500 0.500
Se1 0.000 0.000 0.000

Properties
* DOS(E_F): 0.0000 states/eV per atom
* final energy: -11.91 eV for the cell shown
* space-group type: Pm-3m (221)
* relative energy among the computed polymorphs: 212 meV per atom